Density functional theory data (GGA-PBE) for a relaxed Cr2WCl crystal.

```
data_Cr2WCl
_cell_length_a 4.810
_cell_length_b 4.810
_cell_length_c 4.398
_cell_angle_alpha 91.32
_cell_angle_beta 91.32
_cell_angle_gamma 34.84
_symmetry_space_group_name_H-M 'P 1'
_symmetry_Int_Tables_number 1
_symmetry_space_group_name_Hall 'P 1'
loop_
_atom_site_label
_atom_site_type_symbol
_atom_site_fract_x
_atom_site_fract_y
_atom_site_fract_z
_atom_site_occupancy
Cr1 Cr 0.027 0.027 0.993 1
Cr2 Cr 0.741 0.741 0.782 1
W1 W 0.471 0.471 0.556 1
Cl1 Cl 0.261 0.261 0.170 1
```

## Properties
Magnetic moment = 0.0 μB per formula unit
Space-group type = No. 8
Formation energy without anion corrections = 0.709 eV per atom

***

Density functional theory data (GGA-PBE) for a relaxed Rb2Tl5Au3 crystal.

```
data_Rb2Tl5Au3
_cell_length_a 7.426
_cell_length_b 10.340
_cell_length_c 10.340
_cell_angle_alpha 65.41
_cell_angle_beta 68.96
_cell_angle_gamma 68.96
_symmetry_space_group_name_H-M 'P 1'
_symmetry_Int_Tables_number 1
_symmetry_space_group_name_Hall 'P 1'
loop_
_atom_site_label
_atom_site_type_symbol
_atom_site_fract_x
_atom_site_fract_y
_atom_site_fract_z
_atom_site_occupancy
Rb1 Rb 0.116 0.649 0.118 1
Rb2 Rb 0.616 0.118 0.649 1
Rb3 Rb 0.884 0.351 0.882 1
Rb4 Rb 0.384 0.882 0.351 1
Tl1 Tl 0.379 0.233 0.008 1
Tl2 Tl 0.879 0.008 0.233 1
Tl3 Tl 0.621 0.767 0.992 1
Tl4 Tl 0.121 0.992 0.767 1
Tl5 Tl 0.521 0.729 0.729 1
Tl6 Tl 0.479 0.271 0.271 1
Tl7 Tl 0.750 0.500 0.500 1
Tl8 Tl 0.250 0.500 0.500 1
Tl9 Tl 0.979 0.271 0.271 1
Tl10 Tl 0.021 0.729 0.729 1
Au1 Au 0.384 0.486 0.746 1
Au2 Au 0.884 0.746 0.486 1
Au3 Au 0.616 0.514 0.254 1
Au4 Au 0.116 0.254 0.514 1
Au5 Au 0.250 0.000 0.000 1
Au6 Au 0.750 0.000 0.000 1
```

## Properties
Magnetic moment = 0.0 μB per formula unit
Space-group type = No. 72
DFT formation energy = -143 meV per atom

***

Density functional theory data (GGA-PBE) for a relaxed EuEr2Tl crystal.

```
data_EuEr2Tl
_cell_length_a 4.794
_cell_length_b 4.944
_cell_length_c 4.944
_cell_angle_alpha 90.00
_cell_angle_beta 90.00
_cell_angle_gamma 90.00
_symmetry_space_group_name_H-M 'P 1'
_symmetry_Int_Tables_number 1
_symmetry_space_group_name_Hall 'P 1'
loop_
_atom_site_label
_atom_site_type_symbol
_atom_site_fract_x
_atom_site_fract_y
_atom_site_fract_z
_atom_site_occupancy
Eu1 Eu 0.500 0.500 0.500 1
Tl1 Tl 0.500 0.000 0.000 1
Er1 Er 0.000 0.000 0.500 1
Er2 Er 0.000 0.500 0.000 1
```

## Properties
Magnetic moment = 7.6 μB per formula unit
Space-group type = No. 123
DFT formation energy = -129 meV per atom

***

Density functional theory data (GGA-PBE) for a relaxed MgScCd2 crystal.

```
data_MgScCd2
_cell_length_a 7.876
_cell_length_b 7.876
_cell_length_c 6.388
_cell_angle_alpha 51.94
_cell_angle_beta 51.94
_cell_angle_gamma 90.00
_symmetry_space_group_name_H-M 'P 1'
_symmetry_Int_Tables_number 1
_symmetry_space_group_name_Hall 'P 1'
loop_
_atom_site_label
_atom_site_type_symbol
_atom_site_fract_x
_atom_site_fract_y
_atom_site_fract_z
_atom_site_occupancy
Sc1 Sc 0.000 0.000 0.000 1
Sc2 Sc 0.750 0.250 0.500 1
Mg1 Mg 0.500 0.500 0.000 1
Mg2 Mg 0.250 0.750 0.500 1
Cd1 Cd 0.613 0.125 0.250 1
Cd2 Cd 0.137 0.625 0.250 1
Cd3 Cd 0.375 0.387 0.750 1
Cd4 Cd 0.875 0.863 0.750 1
```

## Properties
Magnetic moment = 0.0 μB per formula unit
Space-group type = No. 122
DFT formation energy = 100 meV per atom

***

Density functional theory data (GGA-PBE) for a relaxed Li2HfTc2 crystal.

```
data_Li2HfTc2
_cell_length_a 7.313
_cell_length_b 7.313
_cell_length_c 2.860
_cell_angle_alpha 90.00
_cell_angle_beta 90.00
_cell_angle_gamma 90.00
_symmetry_space_group_name_H-M 'P 1'
_symmetry_Int_Tables_number 1
_symmetry_space_group_name_Hall 'P 1'
loop_
_atom_site_label
_atom_site_type_symbol
_atom_site_fract_x
_atom_site_fract_y
_atom_site_fract_z
_atom_site_occupancy
Hf1 Hf 0.000 0.000 0.000 1
Hf2 Hf 0.500 0.500 0.000 1
Tc1 Tc 0.388 0.888 0.000 1
Tc2 Tc 0.888 0.612 0.000 1
Tc3 Tc 0.612 0.112 0.000 1
Tc4 Tc 0.112 0.388 0.000 1
Li1 Li 0.182 0.682 0.500 1
Li2 Li 0.682 0.818 0.500 1
Li3 Li 0.818 0.318 0.500 1
Li4 Li 0.318 0.182 0.500 1
```

## Properties
Magnetic moment = 0.0 μB per formula unit
Space-group type = No. 127
DFT formation energy = 395 meV per atom

***

Density functional theory data (GGA-PBE) for a relaxed AcTb2Dy9 crystal.

```
data_AcTb2Dy9
_cell_length_a 5.060
_cell_length_b 5.060
_cell_length_c 15.204
_cell_angle_alpha 90.00
_cell_angle_beta 90.00
_cell_angle_gamma 90.00
_symmetry_space_group_name_H-M 'P 1'
_symmetry_Int_Tables_number 1
_symmetry_space_group_name_Hall 'P 1'
loop_
_atom_site_label
_atom_site_type_symbol
_atom_site_fract_x
_atom_site_fract_y
_atom_site_fract_z
_atom_site_occupancy
Ac1 Ac 0.000 0.000 0.000 1
Tb1 Tb 0.000 0.000 0.336 1
Tb2 Tb 0.000 0.000 0.664 1
Dy1 Dy 0.500 0.500 0.000 1
Dy2 Dy 0.500 0.500 0.337 1
Dy3 Dy 0.500 0.500 0.663 1
Dy4 Dy 0.500 0.000 0.174 1
Dy5 Dy 0.500 0.000 0.500 1
Dy6 Dy 0.500 0.000 0.826 1
Dy7 Dy 0.000 0.500 0.174 1
Dy8 Dy 0.000 0.500 0.500 1
Dy9 Dy 0.000 0.500 0.826 1
```

## Properties
Magnetic moment = 0.0 μB per formula unit
Space-group type = No. 123
DFT formation energy = 35 meV per atom

***

Density functional theory data (GGA-PBE) for a relaxed ReNiHg4 crystal.

```
data_ReNiHg4
_cell_length_a 5.621
_cell_length_b 5.621
_cell_length_c 5.621
_cell_angle_alpha 60.00
_cell_angle_beta 60.00
_cell_angle_gamma 60.00
_symmetry_space_group_name_H-M 'P 1'
_symmetry_Int_Tables_number 1
_symmetry_space_group_name_Hall 'P 1'
loop_
_atom_site_label
_atom_site_type_symbol
_atom_site_fract_x
_atom_site_fract_y
_atom_site_fract_z
_atom_site_occupancy
Re1 Re 0.000 0.000 0.000 1
Ni1 Ni 0.750 0.750 0.750 1
Hg1 Hg 0.875 0.375 0.375 1
Hg2 Hg 0.375 0.375 0.875 1
Hg3 Hg 0.375 0.875 0.375 1
Hg4 Hg 0.375 0.375 0.375 1
```

## Properties
Magnetic moment = 3.6 μB per formula unit
Space-group type = No. 216
DFT formation energy = 1215 meV per atom

***

Density functional theory data (GGA-PBE) for a relaxed ZrRh2Cl crystal.

```
data_ZrRh2Cl
_cell_length_a 5.626
_cell_length_b 5.626
_cell_length_c 6.967
_cell_angle_alpha 66.18
_cell_angle_beta 66.18
_cell_angle_gamma 90.00
_symmetry_space_group_name_H-M 'P 1'
_symmetry_Int_Tables_number 1
_symmetry_space_group_name_Hall 'P 1'
loop_
_atom_site_label
_atom_site_type_symbol
_atom_site_fract_x
_atom_site_fract_y
_atom_site_fract_z
_atom_site_occupancy
Rh1 Rh 0.598 0.125 0.250 1
Rh2 Rh 0.152 0.625 0.250 1
Rh3 Rh 0.375 0.402 0.750 1
Rh4 Rh 0.875 0.848 0.750 1
Zr1 Zr 0.000 0.000 0.000 1
Zr2 Zr 0.750 0.250 0.500 1
Cl1 Cl 0.500 0.500 0.000 1
Cl2 Cl 0.250 0.750 0.500 1
```

## Properties
Magnetic moment = 0.0 μB per formula unit
Space-group type = No. 122
Formation energy without anion corrections = 0.149 eV per atom

***

Density functional theory data (GGA-PBE) for a relaxed CeHoCdRu crystal.

```
data_CeHoCdRu
_cell_length_a 5.069
_cell_length_b 5.069
_cell_length_c 5.069
_cell_angle_alpha 60.00
_cell_angle_beta 60.00
_cell_angle_gamma 60.00
_symmetry_space_group_name_H-M 'P 1'
_symmetry_Int_Tables_number 1
_symmetry_space_group_name_Hall 'P 1'
loop_
_atom_site_label
_atom_site_type_symbol
_atom_site_fract_x
_atom_site_fract_y
_atom_site_fract_z
_atom_site_occupancy
Ru1 Ru 0.500 0.500 0.500 1
Ho1 Ho 0.250 0.250 0.250 1
Ce1 Ce 0.750 0.750 0.750 1
Cd1 Cd 0.000 0.000 0.000 1
```

## Properties
Magnetic moment = 0.2 μB per formula unit
Space-group type = No. 216
DFT formation energy = -208 meV per atom

***

Density functional theory data (GGA-PBE) for a relaxed Ho8Sb2Au crystal.

```
data_Ho8Sb2Au
_cell_length_a 4.834
_cell_length_b 6.998
_cell_length_c 9.693
_cell_angle_alpha 99.62
_cell_angle_beta 104.44
_cell_angle_gamma 90.00
_symmetry_space_group_name_H-M 'P 1'
_symmetry_Int_Tables_number 1
_symmetry_space_group_name_Hall 'P 1'
loop_
_atom_site_label
_atom_site_type_symbol
_atom_site_fract_x
_atom_site_fract_y
_atom_site_fract_z
_atom_site_occupancy
Ho1 Ho 0.406 0.505 0.812 1
Ho2 Ho 0.654 0.026 0.307 1
Ho3 Ho 0.784 0.655 0.569 1
Ho4 Ho 0.990 0.233 0.980 1
Ho5 Ho 0.216 0.345 0.431 1
Ho6 Ho 0.346 0.974 0.693 1
Ho7 Ho 0.594 0.495 0.188 1
Ho8 Ho 0.010 0.767 0.020 1
Sb1 Sb 0.819 0.229 0.638 1
Sb2 Sb 0.181 0.771 0.362 1
Au1 Au 0.500 0.000 0.000 1
```

## Properties
Magnetic moment = 0.0 μB per formula unit
Space-group type = No. 12
Formation energy without anion corrections = -0.485 eV per atom

***

Density functional theory data (GGA-PBE) for a relaxed SmSbPdAu crystal.

```
data_SmSbPdAu
_cell_length_a 4.973
_cell_length_b 4.973
_cell_length_c 4.973
_cell_angle_alpha 60.00
_cell_angle_beta 60.00
_cell_angle_gamma 60.00
_symmetry_space_group_name_H-M 'P 1'
_symmetry_Int_Tables_number 1
_symmetry_space_group_name_Hall 'P 1'
loop_
_atom_site_label
_atom_site_type_symbol
_atom_site_fract_x
_atom_site_fract_y
_atom_site_fract_z
_atom_site_occupancy
Sb1 Sb 0.250 0.250 0.250 1
Au1 Au 0.000 0.000 0.000 1
Pd1 Pd 0.500 0.500 0.500 1
Sm1 Sm 0.750 0.750 0.750 1
```

## Properties
Magnetic moment = 0.0 μB per formula unit
Space-group type = No. 216
Formation energy without anion corrections = -0.697 eV per atom

***

Density functional theory data (GGA-PBE) for a relaxed Rb2HF crystal.

```
data_Rb2HF
_cell_length_a 4.036
_cell_length_b 4.036
_cell_length_c 7.500
_cell_angle_alpha 74.39
_cell_angle_beta 74.39
_cell_angle_gamma 60.00
_symmetry_space_group_name_H-M 'P 1'
_symmetry_Int_Tables_number 1
_symmetry_space_group_name_Hall 'P 1'
loop_
_atom_site_label
_atom_site_type_symbol
_atom_site_fract_x
_atom_site_fract_y
_atom_site_fract_z
_atom_site_occupancy
Rb1 Rb 0.085 0.085 0.746 1
Rb2 Rb 0.249 0.249 0.254 1
H1 H 0.667 0.667 0.998 1
F1 F 0.499 0.499 0.502 1
```

## Properties
Magnetic moment = 0.0 μB per formula unit
Space-group type = No. 160
Calculated total energy = -12.70 eV/cell